No. 1
Material: Na4PaB3O12
Method: DFT, PBE
State: relaxed

Properties
As for the space-group type: No. 204.

Cell: 6.4707 6.4707 6.4707 Å, 109.47 109.47 109.47°
With the nearest neighbours (Å) after each atom.
Fractional coordinates of all 20 atoms:
Na (0.0000, 0.0000, 0.5000)  6 O 2.18
Na (0.0000, 0.5000, 0.0000)  6 O 2.18
Na (0.5000, 0.0000, 0.0000)  6 O 2.18
Na (0.5000, 0.5000, 0.5000)  6 O 2.18
Pa (0.0000, 0.0000, 0.0000)  12 O 2.71
B (0.0000, 0.5000, 0.5000)  4 O 1.54
B (0.5000, 0.0000, 0.5000)  4 O 1.54
B (0.5000, 0.5000, 0.0000)  4 O 1.54
O (0.1287, 0.3390, 0.4678)  1 B 1.54
O (0.1287, 0.6610, 0.7897)  1 B 1.54
O (0.2103, 0.8713, 0.3390)  1 B 1.54
O (0.3390, 0.2103, 0.8713)  1 B 1.54
O (0.3390, 0.4678, 0.1287)  1 B 1.54
O (0.4678, 0.1287, 0.3390)  1 B 1.54
O (0.5322, 0.8713, 0.6610)  1 B 1.54
O (0.6610, 0.5322, 0.8713)  1 B 1.54
O (0.6610, 0.7897, 0.1287)  1 B 1.54
O (0.7897, 0.1287, 0.6610)  1 B 1.54
O (0.8713, 0.3390, 0.2103)  1 B 1.54
O (0.8713, 0.6610, 0.5322)  1 B 1.54

---

No. 2
Material: NaB2Pb2O6
Method: DFT, PBE
State: relaxed

Properties
As for the space-group type: No. 166.

Cell: 6.7639 6.7639 6.7639 Å, 46.32 46.32 46.32°
With the nearest neighbours (Å) after each atom.
Fractional coordinates of all 11 atoms:
Na (0.0000, 0.0000, 0.0000)  6 O 2.37
B (0.4254, 0.4254, 0.4254)  3 O 1.39
B (0.5746, 0.5746, 0.5746)  3 O 1.39
Pb (0.2080, 0.2080, 0.2080)  9 O 2.69-2.73
Pb (0.7920, 0.7920, 0.7920)  9 O 2.69-2.73
O (0.2741, 0.7251, 0.7251)  1 B 1.39
O (0.2749, 0.2749, 0.7259)  1 B 1.39
O (0.2749, 0.7259, 0.2749)  1 B 1.39
O (0.7251, 0.2741, 0.7251)  1 B 1.39
O (0.7251, 0.7251, 0.2741)  1 B 1.39
O (0.7259, 0.2749, 0.2749)  1 B 1.39

---

No. 3
Material: NaB4Pb3O12
Method: DFT, PBE
State: relaxed

Properties
As for the space-group type: No. 155.

Cell: 6.5515 6.5515 6.5515 Å, 102.76 102.76 102.76°
With the nearest neighbours (Å) after each atom.
Fractional coordinates of all 20 atoms:
Na (0.0000, 0.0000, 0.0000)  6 O 2.54
B (0.0363, 0.5000, 0.9637)  3 O 1.37-1.41
B (0.5000, 0.5000, 0.5000)  3 O 1.38
B (0.5000, 0.9637, 0.0363)  3 O 1.37-1.41
B (0.9637, 0.0363, 0.5000)  3 O 1.37-1.41
Pb (0.0000, 0.5291, 0.4709)  6 O 2.20-2.31
Pb (0.4709, 0.0000, 0.5291)  6 O 2.20-2.31
Pb (0.5291, 0.4709, 0.0000)  6 O 2.20-2.31
O (0.0044, 0.6175, 0.8158)  1 B 1.37
O (0.1019, 0.8981, 0.5000)  1 B 1.41
O (0.1842, 0.3825, 0.9956)  1 B 1.37
O (0.3651, 0.6349, 0.5000)  1 B 1.38
O (0.3825, 0.9956, 0.1842)  1 B 1.37
O (0.5000, 0.1019, 0.8981)  1 B 1.41
O (0.5000, 0.3651, 0.6349)  1 B 1.38
O (0.6175, 0.8158, 0.0044)  1 B 1.37
O (0.6349, 0.5000, 0.3651)  1 B 1.38
O (0.8158, 0.0044, 0.6175)  1 B 1.37
O (0.8981, 0.5000, 0.1019)  1 B 1.41
O (0.9956, 0.1842, 0.3825)  1 B 1.37

---

No. 4
Material: Na2B2PbO6
Method: DFT, PBE
State: relaxed

Properties
As for the space-group type: No. 147.

Cell: 5.2091 5.2091 6.1388 Å, 90.00 90.00 120.00°
With the nearest neighbours (Å) after each atom.
Fractional coordinates of all 11 atoms:
Na (0.3333, 0.6667, 0.3570)  3 O 2.27
Na (0.6667, 0.3333, 0.6430)  3 O 2.27
B (0.3333, 0.6667, 0.8073)  3 O 1.39
B (0.6667, 0.3333, 0.1927)  3 O 1.39
Pb (0.0000, 0.0000, 0.0000)  6 O 2.22
O (0.0879, 0.3844, 0.7921)  1 B 1.39
O (0.2965, 0.9121, 0.7921)  1 B 1.39
O (0.3844, 0.2965, 0.2079)  1 B 1.39
O (0.6156, 0.7035, 0.7921)  1 B 1.39
O (0.7035, 0.0879, 0.2079)  1 B 1.39
O (0.9121, 0.6156, 0.2079)  1 B 1.39

---

No. 5
Material: NaB5PbO9
Method: DFT, PBE
State: relaxed

Properties
As for the space-group type: No. 14.

Cell: 6.5914 13.5650 8.6958 Å, 90.00 104.91 90.00°
With the nearest neighbours (Å) after each atom.
Fractional coordinates of all 64 atoms:
Na (0.0285, 0.0880, 0.3550)  5 O 2.43-2.58
Na (0.0285, 0.4120, 0.8550)  5 O 2.43-2.58
Na (0.9715, 0.5880, 0.1450)  5 O 2.43-2.58
Na (0.9715, 0.9120, 0.6450)  5 O 2.43-2.58
B (0.0453, 0.1543, 0.8484)  4 O 1.46-1.52
B (0.0453, 0.3457, 0.3484)  4 O 1.46-1.52
B (0.0799, 0.2499, 0.1098)  3 O 1.37-1.39
B (0.0799, 0.2501, 0.6098)  3 O 1.37-1.39
B (0.2929, 0.5549, 0.7527)  3 O 1.35-1.40
B (0.2929, 0.9451, 0.2527)  3 O 1.35-1.40
B (0.3336, 0.1129, 0.7218)  4 O 1.45-1.52
B (0.3336, 0.3871, 0.2218)  4 O 1.45-1.52
B (0.4155, 0.5593, 0.1438)  3 O 1.35-1.41
B (0.4155, 0.9407, 0.6438)  3 O 1.35-1.41
B (0.5845, 0.0593, 0.3562)  3 O 1.35-1.41
B (0.5845, 0.4407, 0.8562)  3 O 1.35-1.41
B (0.6664, 0.6129, 0.7782)  4 O 1.45-1.52
B (0.6664, 0.8871, 0.2782)  4 O 1.45-1.52
B (0.7071, 0.0549, 0.7473)  3 O 1.35-1.40
B (0.7071, 0.4451, 0.2473)  3 O 1.35-1.40
B (0.9201, 0.7499, 0.3902)  3 O 1.37-1.39
B (0.9201, 0.7501, 0.8902)  3 O 1.37-1.39
B (0.9547, 0.6543, 0.6516)  4 O 1.46-1.52
B (0.9547, 0.8457, 0.1516)  4 O 1.46-1.52
Pb (0.4159, 0.7207, 0.4563)  1 O 2.26
Pb (0.4159, 0.7793, 0.9563)  1 O 2.26
Pb (0.5841, 0.2207, 0.0437)  1 O 2.26
Pb (0.5841, 0.2793, 0.5437)  1 O 2.26
O (0.0016, 0.6786, 0.4997)  2 B 1.37-1.47
O (0.0016, 0.8214, 0.9997)  2 B 1.37-1.47
O (0.0120, 0.7413, 0.7646)  2 B 1.38-1.52
O (0.0120, 0.7587, 0.2646)  2 B 1.38-1.52
O (0.0833, 0.5677, 0.7203)  2 B 1.35-1.48
O (0.0833, 0.9323, 0.2203)  2 B 1.35-1.48
O (0.2418, 0.1886, 0.5945)  2 B 1.39-1.52
O (0.2418, 0.3114, 0.0945)  2 B 1.39-1.52
O (0.2669, 0.1314, 0.8657)  2 B 1.45-1.46
O (0.2669, 0.3686, 0.3657)  2 B 1.45-1.46
O (0.2746, 0.0150, 0.6524)  2 B 1.39-1.47
O (0.2746, 0.4850, 0.1524)  2 B 1.39-1.47
O (0.3427, 0.6501, 0.0979)  1 B 1.35
O (0.3427, 0.8499, 0.5979)  1 B 1.35
O (0.3675, 0.0384, 0.3095)  2 B 1.40-1.41
O (0.3675, 0.4616, 0.8095)  2 B 1.40-1.41
O (0.4330, 0.6280, 0.7374)  2 B 1.39-1.50
O (0.4330, 0.8720, 0.2374)  2 B 1.39-1.50
O (0.5670, 0.1280, 0.7626)  2 B 1.39-1.50
O (0.5670, 0.3720, 0.2626)  2 B 1.39-1.50
O (0.6325, 0.5384, 0.1905)  2 B 1.40-1.41
O (0.6325, 0.9616, 0.6905)  2 B 1.40-1.41
O (0.6573, 0.1501, 0.4021)  1 B 1.35
O (0.6573, 0.3499, 0.9021)  1 B 1.35
O (0.7254, 0.5150, 0.8476)  2 B 1.39-1.47
O (0.7254, 0.9850, 0.3476)  2 B 1.39-1.47
O (0.7331, 0.6314, 0.6343)  2 B 1.45-1.46
O (0.7331, 0.8686, 0.1343)  2 B 1.45-1.46
O (0.7582, 0.6886, 0.9055)  2 B 1.39-1.52
O (0.7582, 0.8114, 0.4055)  2 B 1.39-1.52
O (0.9167, 0.0677, 0.7797)  2 B 1.35-1.48
O (0.9167, 0.4323, 0.2797)  2 B 1.35-1.48
O (0.9880, 0.2413, 0.7354)  2 B 1.38-1.52
O (0.9880, 0.2587, 0.2354)  2 B 1.38-1.52
O (0.9984, 0.1786, 0.0003)  2 B 1.37-1.47
O (0.9984, 0.3214, 0.5003)  2 B 1.37-1.47

---

No. 6
Material: NaB4Pd3O12
Method: DFT, PBE
State: relaxed

Properties
As for the space-group type: No. 155.

Cell: 6.1754 6.1754 6.1754 Å, 103.18 103.18 103.18°
With the nearest neighbours (Å) after each atom.
Fractional coordinates of all 20 atoms:
Na (0.0000, 0.0000, 0.0000)  6 O 2.44
B (0.0584, 0.5000, 0.9416)  3 O 1.36-1.42
B (0.5000, 0.5000, 0.5000)  3 O 1.38
B (0.5000, 0.9416, 0.0584)  3 O 1.36-1.42
B (0.9416, 0.0584, 0.5000)  3 O 1.36-1.42
Pd (0.0000, 0.5509, 0.4491)  6 O 2.01-2.10
Pd (0.4491, 0.0000, 0.5509)  6 O 2.01-2.10
Pd (0.5509, 0.4491, 0.0000)  6 O 2.01-2.10
O (0.0192, 0.6239, 0.7878)  1 B 1.36
O (0.0882, 0.9118, 0.5000)  1 B 1.42
O (0.2122, 0.3761, 0.9808)  1 B 1.36
O (0.3573, 0.6427, 0.5000)  1 B 1.38
O (0.3761, 0.9808, 0.2122)  1 B 1.36
O (0.5000, 0.0882, 0.9118)  1 B 1.42
O (0.5000, 0.3573, 0.6427)  1 B 1.38
O (0.6239, 0.7878, 0.0192)  1 B 1.36
O (0.6427, 0.5000, 0.3573)  1 B 1.38
O (0.7878, 0.0192, 0.6239)  1 B 1.36
O (0.9118, 0.5000, 0.0882)  1 B 1.42
O (0.9808, 0.2122, 0.3761)  1 B 1.36

---

No. 7
Material: Na2BPdO4
Method: DFT, PBE
State: relaxed

Properties
As for the space-group type: No. 82.

Cell: 4.8811 4.8811 4.8811 Å, 111.08 111.08 106.30°
With the nearest neighbours (Å) after each atom.
Fractional coordinates of all 8 atoms:
Na (0.0000, 0.0000, 0.0000)  4 O 2.39
Na (0.7500, 0.2500, 0.5000)  4 O 2.30
B (0.5000, 0.5000, 0.0000)  4 O 1.50
Pd (0.2500, 0.7500, 0.5000)  4 O 2.04
O (0.2151, 0.5248, 0.0373)  1 B 1.50
O (0.4752, 0.5125, 0.6903)  1 B 1.50
O (0.4875, 0.1778, 0.9627)  1 B 1.50
O (0.8222, 0.7849, 0.3097)  1 B 1.50

---

No. 8
Material: NaBPdO4
Method: DFT, PBE
State: relaxed

Properties
As for the space-group type: No. 63.

Cell: 5.2734 5.2734 6.1846 Å, 90.00 90.00 112.85°
With the nearest neighbours (Å) after each atom.
Fractional coordinates of all 14 atoms:
Na (0.0000, 0.0000, 0.0000)  6 O 2.34-2.49
Na (0.0000, 0.0000, 0.5000)  6 O 2.34-2.49
B (0.3807, 0.6193, 0.7500)  4 O 1.47-1.48
B (0.6193, 0.3807, 0.2500)  4 O 1.47-1.48
Pd (0.3253, 0.6747, 0.2500)  4 O 1.96-2.04
Pd (0.6747, 0.3253, 0.7500)  4 O 1.96-2.04
O (0.2801, 0.7199, 0.5610)  1 B 1.47
O (0.2801, 0.7199, 0.9390)  1 B 1.47
O (0.2849, 0.3166, 0.7500)  1 B 1.48
O (0.3166, 0.2849, 0.2500)  1 B 1.48
O (0.6834, 0.7151, 0.7500)  1 B 1.48
O (0.7151, 0.6834, 0.2500)  1 B 1.48
O (0.7199, 0.2801, 0.0610)  1 B 1.47
O (0.7199, 0.2801, 0.4390)  1 B 1.47

---

So what do the calculations give for magnetization? Going down the list: 6.21, 0.84, 0.00, 0.00, 0.00, 0.00, 1.06, 0.00 μB per cell.
So what do the calculations give for energy relative to the elements, uncorrected? Going down the list: -23.596, -18.516, -33.999, -20.186, -36.605, -28.039, -11.158, -8.192 eV/f.u..